The following is a PBE-GGA calculation of a geometry-optimized LiErIn structure, from OQMD via LeMat-Bulk.

a = 7.029 Å, b = 7.029 Å, c = 7.029 Å
α = 90.00°, β = 90.00°, γ = 90.00°
Positions (direct):
Li (0.000, 0.000, 0.000)
Li (0.000, 0.500, 0.500)
Li (0.500, 0.000, 0.500)
Li (0.500, 0.500, 0.000)
Er (0.250, 0.250, 0.750)
Er (0.250, 0.750, 0.250)
Er (0.750, 0.250, 0.250)
Er (0.750, 0.750, 0.750)
In (0.000, 0.000, 0.500)
In (0.000, 0.500, 0.000)
In (0.500, 0.000, 0.000)
In (0.500, 0.500, 0.500)

M_tot: 0.6 μB/f.u.
SG: F-43m
Final energy: -33.23 eV for the cell shown

=====

The following is a PBE-GGA calculation of a geometry-optimized ErLuIn5 structure, from OQMD via LeMat-Bulk.

a = 4.677 Å, b = 4.677 Å, c = 8.378 Å
α = 90.00°, β = 90.00°, γ = 90.00°
Positions (direct):
Er (0.000, 0.000, 0.000)
Lu (0.000, 0.000, 0.500)
In (0.000, 0.500, 0.267)
In (0.000, 0.500, 0.733)
In (0.500, 0.000, 0.267)
In (0.500, 0.000, 0.733)
In (0.500, 0.500, 0.000)

M_tot: 0.0 μB/f.u.
SG: P4/mmm
Final energy: -24.65 eV for the cell shown

=====

The following is a PBE-GGA calculation of a geometry-optimized ErLuIn2Ni4 structure, from OQMD via LeMat-Bulk.

a = 3.985 Å, b = 5.046 Å, c = 6.942 Å
α = 90.00°, β = 90.00°, γ = 90.00°
Positions (direct):
Er (0.000, 0.000, 0.000)
Lu (0.000, 0.500, 0.470)
In (0.500, 0.000, 0.377)
In (0.500, 0.500, 0.092)
Ni (0.000, 0.000, 0.620)
Ni (0.000, 0.500, 0.846)
Ni (0.500, 0.251, 0.732)
Ni (0.500, 0.749, 0.732)

M_tot: 0.0 μB/f.u.
SG: Pmm2
Final energy: -40.57 eV for the cell shown

=====

The following is a PBE-GGA calculation of a geometry-optimized ErLuIn2Pd4 structure, from OQMD via LeMat-Bulk.

a = 4.578 Å, b = 4.578 Å, c = 8.806 Å
α = 90.00°, β = 90.00°, γ = 120.00°
Positions (direct):
Er (0.000, 0.000, 0.000)
Lu (0.333, 0.667, 0.500)
In (0.667, 0.333, 0.251)
In (0.667, 0.333, 0.749)
Pd (0.000, 0.000, 0.339)
Pd (0.000, 0.000, 0.661)
Pd (0.333, 0.667, 0.164)
Pd (0.333, 0.667, 0.836)

M_tot: 0.0 μB/f.u.
SG: P-6m2
Final energy: -41.87 eV for the cell shown

=====

The following is a PBE-GGA calculation of a geometry-optimized ErLuIn2Pt4 structure, from OQMD via LeMat-Bulk.

a = 4.561 Å, b = 4.561 Å, c = 8.923 Å
α = 90.00°, β = 90.00°, γ = 120.00°
Positions (direct):
Er (0.000, 0.000, 0.000)
Lu (0.667, 0.333, 0.500)
In (0.333, 0.667, 0.251)
In (0.333, 0.667, 0.749)
Pt (0.000, 0.000, 0.344)
Pt (0.000, 0.000, 0.656)
Pt (0.667, 0.333, 0.159)
Pt (0.667, 0.333, 0.841)

M_tot: 0.0 μB/f.u.
SG: P-6m2
Final energy: -46.58 eV for the cell shown

=====

The following is a PBE-GGA calculation of a geometry-optimized ErLu2In3Pt2 structure, from OQMD via LeMat-Bulk.

a = 3.567 Å, b = 13.259 Å, c = 7.639 Å
α = 90.00°, β = 90.00°, γ = 90.00°
Positions (direct):
Er (0.000, 0.000, 0.000)
Er (0.000, 0.500, 0.500)
Lu (0.000, 0.211, 0.368)
Lu (0.000, 0.289, 0.868)
Lu (0.000, 0.711, 0.868)
Lu (0.000, 0.789, 0.368)
In (0.500, 0.000, 0.348)
In (0.500, 0.116, 0.694)
In (0.500, 0.384, 0.194)
In (0.500, 0.500, 0.848)
In (0.500, 0.616, 0.194)
In (0.500, 0.884, 0.694)
Pt (0.500, 0.168, 0.079)
Pt (0.500, 0.332, 0.579)
Pt (0.500, 0.668, 0.579)
Pt (0.500, 0.832, 0.079)

M_tot: 0.0 μB/f.u.
SG: Amm2
Final energy: -82.10 eV for the cell shown

=====

The following is a PBE-GGA calculation of a geometry-optimized ErLuSc2In2 structure, from OQMD via LeMat-Bulk.

a = 5.148 Å, b = 5.148 Å, c = 6.510 Å
α = 90.00°, β = 90.00°, γ = 120.00°
Positions (direct):
Er (0.000, 0.000, 0.000)
Lu (0.000, 0.000, 0.500)
Sc (0.333, 0.667, 0.250)
Sc (0.667, 0.333, 0.750)
In (0.333, 0.667, 0.750)
In (0.667, 0.333, 0.250)

M_tot: 0.3 μB/f.u.
SG: P-3m1
Final energy: -29.41 eV for the cell shown

=====

The following is a PBE-GGA calculation of a geometry-optimized SmEr2LuIn2 structure, from OQMD via LeMat-Bulk.

a = 5.358 Å, b = 5.358 Å, c = 6.726 Å
α = 90.00°, β = 90.00°, γ = 120.00°
Positions (direct):
Sm (0.000, 0.000, 0.000)
Er (0.667, 0.333, 0.257)
Er (0.667, 0.333, 0.743)
Lu (0.333, 0.667, 0.500)
In (0.000, 0.000, 0.500)
In (0.333, 0.667, 0.000)

M_tot: 0.8 μB/f.u.
SG: P-6m2
Final energy: -25.87 eV for the cell shown

=====

The following is a PBE-GGA calculation of a geometry-optimized ErTmLu2In2 structure, from OQMD via LeMat-Bulk.

a = 5.280 Å, b = 5.280 Å, c = 6.618 Å
α = 90.00°, β = 90.00°, γ = 120.00°
Positions (direct):
Er (0.000, 0.000, 0.000)
Tm (0.333, 0.667, 0.500)
Lu (0.667, 0.333, 0.251)
Lu (0.667, 0.333, 0.749)
In (0.000, 0.000, 0.500)
In (0.333, 0.667, 0.000)

M_tot: 0.0 μB/f.u.
SG: P-6m2
Final energy: -25.58 eV for the cell shown

=====

The following is a PBE-GGA calculation of a geometry-optimized ErTm2LuIn2 structure, from OQMD via LeMat-Bulk.

a = 5.311 Å, b = 5.311 Å, c = 6.642 Å
α = 90.00°, β = 90.00°, γ = 120.00°
Positions (direct):
Er (0.000, 0.000, 0.000)
Tm (0.333, 0.667, 0.750)
Tm (0.667, 0.333, 0.250)
Lu (0.000, 0.000, 0.500)
In (0.333, 0.667, 0.250)
In (0.667, 0.333, 0.750)

M_tot: 0.2 μB/f.u.
SG: P-3m1
Final energy: -25.56 eV for the cell shown

=====

The following is a PBE-GGA calculation of a geometry-optimized ErMgIn2 structure, from OQMD via LeMat-Bulk.

a = 4.606 Å, b = 4.606 Å, c = 4.465 Å
α = 90.00°, β = 90.00°, γ = 90.00°
Positions (direct):
Er (0.000, 0.000, 0.000)
Mg (0.500, 0.500, 0.000)
In (0.000, 0.500, 0.500)
In (0.500, 0.000, 0.500)

M_tot: 0.0 μB/f.u.
SG: P4/mmm
Final energy: -13.12 eV for the cell shown

=====

The following is a PBE-GGA calculation of a geometry-optimized ErMgIn structure, from OQMD via LeMat-Bulk.

a = 7.461 Å, b = 7.461 Å, c = 4.659 Å
α = 90.00°, β = 90.00°, γ = 120.00°
Positions (direct):
Er (0.000, 0.436, 0.000)
Er (0.436, 0.000, 0.000)
Er (0.564, 0.564, 0.000)
Mg (0.000, 0.758, 0.500)
Mg (0.242, 0.242, 0.500)
Mg (0.758, 0.000, 0.500)
In (0.000, 0.000, 0.000)
In (0.333, 0.667, 0.500)
In (0.667, 0.333, 0.500)

M_tot: 0.0 μB/f.u.
SG: P-62m
Final energy: -29.90 eV for the cell shown

=====

The following is a PBE-GGA calculation of a geometry-optimized Er5MgIn3 structure, from OQMD via LeMat-Bulk.

a = 9.199 Å, b = 9.199 Å, c = 6.553 Å
α = 90.00°, β = 90.00°, γ = 120.00°
Positions (direct):
Er (0.000, 0.306, 0.250)
Er (0.000, 0.694, 0.750)
Er (0.306, 0.000, 0.250)
Er (0.306, 0.306, 0.750)
Er (0.333, 0.667, 0.000)
Er (0.333, 0.667, 0.500)
Er (0.667, 0.333, 0.000)
Er (0.667, 0.333, 0.500)
Er (0.694, 0.000, 0.750)
Er (0.694, 0.694, 0.250)
Mg (0.000, 0.000, 0.000)
Mg (0.000, 0.000, 0.500)
In (0.000, 0.357, 0.750)
In (0.000, 0.643, 0.250)
In (0.357, 0.000, 0.750)
In (0.357, 0.357, 0.250)
In (0.643, 0.000, 0.250)
In (0.643, 0.643, 0.750)

M_tot: 0.0 μB/f.u.
SG: P6_3/mcm
Final energy: -71.68 eV for the cell shown

=====

The following is a PBE-GGA calculation of a geometry-optimized ErMgIn structure, from OQMD via LeMat-Bulk.

a = 7.132 Å, b = 7.132 Å, c = 7.132 Å
α = 90.00°, β = 90.00°, γ = 90.00°
Positions (direct):
Er (0.000, 0.000, 0.000)
Er (0.000, 0.500, 0.500)
Er (0.500, 0.000, 0.500)
Er (0.500, 0.500, 0.000)
Mg (0.250, 0.250, 0.250)
Mg (0.250, 0.750, 0.750)
Mg (0.750, 0.250, 0.750)
Mg (0.750, 0.750, 0.250)
In (0.250, 0.250, 0.750)
In (0.250, 0.750, 0.250)
In (0.750, 0.250, 0.250)
In (0.750, 0.750, 0.750)

M_tot: 0.0 μB/f.u.
SG: F-43m
Final energy: -32.58 eV for the cell shown

=====

The following is a PBE-GGA calculation of a geometry-optimized Nd2ErMg3In3 structure, from OQMD via LeMat-Bulk.

a = 4.732 Å, b = 7.584 Å, c = 7.584 Å
α = 119.12°, β = 90.00°, γ = 90.00°
Positions (direct):
Nd (0.000, 0.216, 0.784)
Nd (0.000, 0.784, 0.216)
Er (0.000, 0.351, 0.351)
Mg (0.500, 0.022, 0.022)
Mg (0.500, 0.541, 0.782)
Mg (0.500, 0.782, 0.541)
In (0.000, 0.774, 0.774)
In (0.500, 0.121, 0.447)
In (0.500, 0.447, 0.121)

M_tot: 0.0 μB/f.u.
SG: Amm2
Final energy: -30.60 eV for the cell shown

=====

The following is a PBE-GGA calculation of a geometry-optimized Nd2ErMg3ZnIn2 structure, from OQMD via LeMat-Bulk.

a = 4.659 Å, b = 7.523 Å, c = 7.523 Å
α = 119.06°, β = 90.00°, γ = 90.00°
Positions (direct):
Nd (0.000, 0.205, 0.795)
Nd (0.000, 0.795, 0.205)
Er (0.000, 0.383, 0.383)
Mg (0.500, 0.025, 0.025)
Mg (0.500, 0.555, 0.791)
Mg (0.500, 0.791, 0.555)
Zn (0.000, 0.782, 0.782)
In (0.500, 0.132, 0.457)
In (0.500, 0.457, 0.132)

M_tot: 0.0 μB/f.u.
SG: Amm2
Final energy: -28.80 eV for the cell shown

=====

The following is a PBE-GGA calculation of a geometry-optimized NdEr2Mg3ZnIn2 structure, from OQMD via LeMat-Bulk.

a = 4.595 Å, b = 7.538 Å, c = 7.538 Å
α = 121.13°, β = 90.00°, γ = 90.00°
Positions (direct):
Nd (0.000, 0.000, 0.000)
Er (0.000, 0.414, 0.830)
Er (0.000, 0.830, 0.414)
Mg (0.500, 0.183, 0.417)
Mg (0.500, 0.417, 0.183)
Mg (0.500, 0.653, 0.653)
Zn (0.000, 0.427, 0.427)
In (0.500, 0.084, 0.744)
In (0.500, 0.744, 0.084)

M_tot: 0.0 μB/f.u.
SG: Amm2
Final energy: -28.48 eV for the cell shown

=====

The following is a PBE-GGA calculation of a geometry-optimized PmErMgIn structure, from OQMD via LeMat-Bulk.

a = 7.566 Å, b = 7.566 Å, c = 7.566 Å
α = 90.00°, β = 90.00°, γ = 90.00°
Positions (direct):
Pm (0.000, 0.000, 0.000)
Pm (0.000, 0.500, 0.500)
Pm (0.500, 0.000, 0.500)
Pm (0.500, 0.500, 0.000)
Er (0.000, 0.000, 0.500)
Er (0.000, 0.500, 0.000)
Er (0.500, 0.000, 0.000)
Er (0.500, 0.500, 0.500)
Mg (0.250, 0.250, 0.250)
Mg (0.250, 0.750, 0.750)
Mg (0.750, 0.250, 0.750)
Mg (0.750, 0.750, 0.250)
In (0.250, 0.250, 0.750)
In (0.250, 0.750, 0.250)
In (0.750, 0.250, 0.250)
In (0.750, 0.750, 0.750)

M_tot: 0.0 μB/f.u.
SG: F-43m
Final energy: -59.49 eV for the cell shown

=====

The following is a PBE-GGA calculation of a geometry-optimized PrEr2Mg4In2 structure, from OQMD via LeMat-Bulk.

a = 4.713 Å, b = 7.645 Å, c = 7.645 Å
α = 121.22°, β = 90.00°, γ = 90.00°
Positions (direct):
Pr (0.000, 0.000, 0.000)
Er (0.000, 0.428, 0.866)
Er (0.000, 0.866, 0.428)
Mg (0.000, 0.443, 0.443)
Mg (0.500, 0.191, 0.433)
Mg (0.500, 0.433, 0.191)
Mg (0.500, 0.677, 0.677)
In (0.500, 0.099, 0.758)
In (0.500, 0.758, 0.099)

M_tot: 0.0 μB/f.u.
SG: Amm2
Final energy: -28.07 eV for the cell shown

=====

The following is a PBE-GGA calculation of a geometry-optimized PrEr2Mg3ZnIn2 structure, from OQMD via LeMat-Bulk.

a = 4.616 Å, b = 7.555 Å, c = 7.555 Å
α = 121.39°, β = 90.00°, γ = 90.00°
Positions (direct):
Pr (0.000, 0.000, 0.000)
Er (0.000, 0.412, 0.826)
Er (0.000, 0.826, 0.412)
Mg (0.500, 0.181, 0.416)
Mg (0.500, 0.416, 0.181)
Mg (0.500, 0.653, 0.653)
Zn (0.000, 0.427, 0.427)
In (0.500, 0.083, 0.741)
In (0.500, 0.741, 0.083)

M_tot: 0.0 μB/f.u.
SG: Amm2
Final energy: -28.49 eV for the cell shown

=====

The following is a PBE-GGA calculation of a geometry-optimized Er3Mg3In2Pt structure, from OQMD via LeMat-Bulk.

a = 7.464 Å, b = 7.464 Å, c = 4.404 Å
α = 90.00°, β = 90.00°, γ = 120.00°
Positions (direct):
Er (0.000, 0.603, 0.000)
Er (0.397, 0.397, 0.000)
Er (0.603, 0.000, 0.000)
Mg (0.000, 0.233, 0.500)
Mg (0.233, 0.000, 0.500)
Mg (0.767, 0.767, 0.500)
In (0.333, 0.667, 0.500)
In (0.667, 0.333, 0.500)
Pt (0.000, 0.000, 0.000)

M_tot: 0.0 μB/f.u.
SG: P-62m
Final energy: -34.88 eV for the cell shown

=====

The following is a PBE-GGA calculation of a geometry-optimized ErMgInS3 structure, from OQMD via LeMat-Bulk.

a = 7.284 Å, b = 7.284 Å, c = 10.689 Å
α = 90.00°, β = 90.00°, γ = 147.83°
Positions (direct):
Er (0.000, 0.000, 0.000)
Er (0.000, 0.000, 0.500)
Mg (0.458, 0.542, 0.750)
Mg (0.542, 0.458, 0.250)
In (0.257, 0.743, 0.250)
In (0.743, 0.257, 0.750)
S (0.060, 0.940, 0.750)
S (0.375, 0.625, 0.554)
S (0.375, 0.625, 0.946)
S (0.625, 0.375, 0.054)
S (0.625, 0.375, 0.446)
S (0.940, 0.060, 0.250)

M_tot: 0.0 μB/f.u.
SG: Cmcm
Final energy: -58.31 eV for the cell shown

=====

The following is a PBE-GGA calculation of a geometry-optimized ErMgInSe3 structure, from OQMD via LeMat-Bulk.

a = 7.562 Å, b = 7.562 Å, c = 11.068 Å
α = 90.00°, β = 90.00°, γ = 147.91°
Positions (direct):
Er (0.000, 0.000, 0.000)
Er (0.000, 0.000, 0.500)
Mg (0.462, 0.538, 0.750)
Mg (0.538, 0.462, 0.250)
In (0.248, 0.752, 0.250)
In (0.752, 0.248, 0.750)
Se (0.068, 0.932, 0.750)
Se (0.372, 0.628, 0.555)
Se (0.372, 0.628, 0.945)
Se (0.628, 0.372, 0.055)
Se (0.628, 0.372, 0.445)
Se (0.932, 0.068, 0.250)

M_tot: 0.0 μB/f.u.
SG: Cmcm
Final energy: -53.18 eV for the cell shown

=====

The following is a PBE-GGA calculation of a geometry-optimized SmErMgIn structure, from OQMD via LeMat-Bulk.

a = 7.546 Å, b = 7.546 Å, c = 7.546 Å
α = 90.00°, β = 90.00°, γ = 90.00°
Positions (direct):
Sm (0.000, 0.000, 0.000)
Sm (0.000, 0.500, 0.500)
Sm (0.500, 0.000, 0.500)
Sm (0.500, 0.500, 0.000)
Er (0.000, 0.000, 0.500)
Er (0.000, 0.500, 0.000)
Er (0.500, 0.000, 0.000)
Er (0.500, 0.500, 0.500)
Mg (0.250, 0.250, 0.250)
Mg (0.250, 0.750, 0.750)
Mg (0.750, 0.250, 0.750)
Mg (0.750, 0.750, 0.250)
In (0.250, 0.250, 0.750)
In (0.250, 0.750, 0.250)
In (0.750, 0.250, 0.250)
In (0.750, 0.750, 0.750)

M_tot: 0.0 μB/f.u.
SG: F-43m
Final energy: -59.34 eV for the cell shown

=====

The following is a PBE-GGA calculation of a geometry-optimized TbEr2Mg3In3 structure, from OQMD via LeMat-Bulk.

a = 4.662 Å, b = 7.495 Å, c = 7.495 Å
α = 120.27°, β = 90.00°, γ = 90.00°
Positions (direct):
Tb (0.000, 0.000, 0.000)
Er (0.000, 0.129, 0.564)
Er (0.000, 0.564, 0.129)
Mg (0.500, 0.322, 0.322)
Mg (0.500, 0.564, 0.805)
Mg (0.500, 0.805, 0.564)
In (0.000, 0.562, 0.562)
In (0.500, 0.232, 0.897)
In (0.500, 0.897, 0.232)

M_tot: 0.0 μB/f.u.
SG: Amm2
Final energy: -30.05 eV for the cell shown